{
  "formula": "ThSi2Ge2Pt7",
  "functional": "GGA-PBE",
  "state": "relaxed",
  "m_tot_mub_per_atom": 0.000,
  "vol_a3_per_atom": 19.37,
  "final_energy_ev_per_atom": -6.423,
  "density_g_cm3": 12.9,
  "dos_at_fermi_per_ev_atom": 0.30,
  "lattice": [[-0.5734, 3.7990, -1.0441], [-3.5271, -0.9494, -1.5840], [-7.5401, 3.3007, 12.2209]],
  "species": ["Pt", "Pt", "Pt", "Pt", "Pt", "Pt", "Pt", "Ge", "Ge", "Si", "Si", "Th"],
  "frac_coords": [[0.5442, 0.0447, 0.8411], [0.5943, 0.5943, 0.5875], [0.9553, 0.4558, 0.1589], [0.5000, 0.5000, 0.0000], [0.4057, 0.4057, 0.4125], [0.0447, 0.5442, 0.8411], [0.4558, 0.9553, 0.1589], [0.8460, 0.8460, 0.4256], [0.1540, 0.1540, 0.5744], [0.5695, 0.5695, 0.7460], [0.4305, 0.4305, 0.2540], [0.0000, 0.0000, 0.0000]]
}